1.
Density functional theory data (PBE-GGA) for crystalline ZnCuPt2 at its relaxed geometry.

a b c (Å): 8.658 8.658 8.658
angles (deg): 18.65 18.65 18.65
Fractional positions:
Zn  0.250  0.250  0.250
Cu  0.750  0.750  0.750
Pt  0.000  0.000  0.000
Pt  0.500  0.500  0.500

Summary:
ΔE_f, eV per atom: -0.316


2.
Density functional theory data (PBE-GGA) for crystalline TbEr5TmIn2 at its relaxed geometry.

a b c (Å): 7.560 7.560 11.073
angles (deg): 109.96 109.96 90.00
Fractional positions:
Tb  0.250  0.250  0.500
Tb  0.750  0.750  0.500
Er  0.923  0.423  0.246
Er  0.677  0.177  0.754
Er  0.077  0.577  0.754
Er  0.177  0.077  0.754
Er  0.577  0.677  0.754
Er  0.823  0.923  0.246
Er  0.423  0.323  0.246
Er  0.323  0.823  0.246
Er  0.500  0.500  0.000
Er  0.000  0.000  0.000
Tm  0.250  0.750  0.500
Tm  0.750  0.250  0.500
In  0.125  0.375  0.000
In  0.625  0.125  0.000
In  0.375  0.875  0.000
In  0.875  0.625  0.000

Summary:
ΔE_f, eV per atom: 0.016


3.
Density functional theory data (PBE-GGA) for crystalline Pm3Sm2YSe6 at its relaxed geometry.

a b c (Å): 4.153 8.386 9.319
angles (deg): 103.10 102.88 90.00
Fractional positions:
Pm  0.500  0.500  0.000
Pm  0.831  0.167  0.663
Pm  0.169  0.833  0.337
Sm  0.832  0.665  0.665
Sm  0.168  0.335  0.335
Y  0.500  0.000  0.000
Se  0.337  0.917  0.673
Se  0.667  0.582  0.333
Se  0.663  0.083  0.327
Se  0.000  0.243  0.000
Se  0.000  0.757  0.000
Se  0.333  0.418  0.667

Summary:
Formation energy without anion corrections, eV/atom: -1.818


4.
Density functional theory data (PBE-GGA) for crystalline CeHgS4 at its relaxed geometry.

a b c (Å): 5.497 5.497 11.138
angles (deg): 90.00 90.00 91.61
Fractional positions:
Ce  0.470  0.470  0.750
Ce  0.530  0.530  0.250
Hg  0.929  0.929  0.750
Hg  0.071  0.071  0.250
S  0.580  0.043  0.250
S  0.420  0.957  0.750
S  0.043  0.580  0.250
S  0.957  0.420  0.750
S  0.631  0.631  0.492
S  0.369  0.369  0.992
S  0.631  0.631  0.008
S  0.369  0.369  0.508

Summary:
Formation energy without anion corrections, eV/atom: -0.693


5.
Density functional theory data (PBE-GGA) for crystalline Tm6Ir5Pd at its relaxed geometry.

a b c (Å): 4.718 7.008 7.462
angles (deg): 90.00 71.57 90.00
Fractional positions:
Tm  0.831  0.749  0.337
Tm  0.831  0.251  0.337
Tm  0.500  0.254  0.000
Tm  0.500  0.746  0.000
Tm  0.169  0.749  0.663
Tm  0.169  0.251  0.663
Pd  0.000  0.000  0.000
Ir  0.667  0.500  0.666
Ir  0.335  0.000  0.330
Ir  0.000  0.500  0.000
Ir  0.665  0.000  0.670
Ir  0.333  0.500  0.334

Summary:
ΔE_f, eV per atom: -0.940


6.
Density functional theory data (PBE-GGA) for crystalline Nd5AlSe4 at its relaxed geometry.

a b c (Å): 6.015 7.404 7.404
angles (deg): 80.50 66.03 66.03
Fractional positions:
Nd  0.903  0.398  0.798
Nd  0.301  0.798  0.602
Nd  0.701  0.202  0.398
Nd  0.099  0.602  0.202
Nd  0.501  0.000  0.000
Al  0.001  0.000  0.000
Se  0.401  0.401  0.800
Se  0.802  0.800  0.599
Se  0.200  0.200  0.401
Se  0.601  0.599  0.200

Summary:
Formation energy without anion corrections, eV/atom: -1.547


7.
Density functional theory data (PBE-GGA) for crystalline YCSCl2 at its relaxed geometry.

a b c (Å): 5.194 5.194 5.492
angles (deg): 90.00 90.00 90.00
Fractional positions:
Y  0.000  0.000  0.000
S  0.000  0.000  0.500
C  0.500  0.500  0.500
Cl  0.000  0.500  0.000
Cl  0.500  0.000  0.000

Summary:
Formation energy without anion corrections, eV/atom: 0.236


8.
Density functional theory data (PBE-GGA) for crystalline LiMoS2N at its relaxed geometry.

a b c (Å): 4.375 4.375 3.378
angles (deg): 90.00 90.00 90.00
Fractional positions:
Mo  0.500  0.500  0.500
Li  0.000  0.000  0.000
S  0.000  0.500  0.000
S  0.500  0.000  0.000
N  0.000  0.000  0.500

Summary:
Formation energy without anion corrections, eV/atom: 1.055


| no. | calculated volume (Å³ per atom) | DFT total energy (eV for the cell shown) |
| --- | --- | --- |
| 1 | 14.50 | -18.72 |
| 2 | 30.79 | -74.50 |
| 3 | 25.65 | -72.88 |
| 4 | 28.04 | -53.81 |
| 5 | 19.51 | -87.60 |
| 6 | 27.53 | -56.99 |
| 7 | 29.63 | -22.33 |
| 8 | 12.93 | -24.05 |